No. 1
First-principles (PBE+U) data for a relaxed Li2W2O7 crystal, as listed in the Alexandria database.

Structure (CIF):
```
data_Li2W2O7
_cell_length_a 5.191
_cell_length_b 7.094
_cell_length_c 8.551
_cell_angle_alpha 70.04
_cell_angle_beta 77.34
_cell_angle_gamma 84.97
_symmetry_space_group_name_H-M 'P -1'
_symmetry_Int_Tables_number 2
loop_
_symmetry_equiv_pos_as_xyz
'x,y,z'
'-x,-y,-z'
loop_
_atom_site_label
_atom_site_type_symbol
_atom_site_fract_x
_atom_site_fract_y
_atom_site_fract_z
Li1 Li 0.140 0.006 0.261
Li2 Li 0.316 0.743 0.903
W1 W 0.190 0.460 0.335
W2 W 0.300 0.254 0.820
O1 O 0.055 0.608 0.131
O2 O 0.095 0.215 0.364
O3 O 0.177 0.416 0.577
O4 O 0.184 0.023 0.816
O5 O 0.350 0.751 0.300
O6 O 0.353 0.188 0.034
O7 O 0.455 0.559 0.766
```


No. 2
First-principles (PBE+U) data for a relaxed Li2WO4 crystal, as listed in the Alexandria database.

Structure (CIF):
```
data_Li2WO4
_cell_length_a 12.224
_cell_length_b 12.224
_cell_length_c 8.491
_cell_angle_alpha 90.00
_cell_angle_beta 90.00
_cell_angle_gamma 90.00
_symmetry_space_group_name_H-M 'I 41/a m d'
_symmetry_Int_Tables_number 141
loop_
_symmetry_equiv_pos_as_xyz
'x,y,z'
'-x,-y,-z'
'-y+1/4,x+3/4,z+1/4'
'y+1/4,-x+3/4,-z+1/4'
'-x+1/2,-y,z+1/2'
'x+1/2,y,-z+1/2'
'y+1/4,-x+1/4,z+3/4'
'-y+1/4,x+1/4,-z+3/4'
'x,-y,-z'
'-x,y,z'
'-y+1/4,-x+1/4,-z+3/4'
'y+1/4,x+1/4,z+3/4'
'-x+1/2,y,-z+1/2'
'x+1/2,-y,z+1/2'
'y+1/4,x+3/4,-z+1/4'
'-y+1/4,-x+3/4,z+1/4'
'x+1/2,y+1/2,z+1/2'
'-x+1/2,-y+1/2,-z+1/2'
'-y+3/4,x+1/4,z+3/4'
'y+3/4,-x+1/4,-z+3/4'
'-x,-y+1/2,z'
'x,y+1/2,-z'
'y+3/4,-x+3/4,z+1/4'
'-y+3/4,x+3/4,-z+1/4'
'x+1/2,-y+1/2,-z+1/2'
'-x+1/2,y+1/2,z+1/2'
'-y+3/4,-x+3/4,-z+1/4'
'y+3/4,x+3/4,z+1/4'
'-x,y+1/2,-z'
'x,-y+1/2,z'
'y+3/4,x+1/4,-z+3/4'
'-y+3/4,-x+1/4,z+3/4'
loop_
_atom_site_label
_atom_site_type_symbol
_atom_site_fract_x
_atom_site_fract_y
_atom_site_fract_z
Li1 Li 0.131 0.119 0.375
Li2 Li 0.135 0.000 0.000
W1 W 0.000 0.114 0.725
O1 O 0.000 0.127 0.513
O2 O 0.000 0.143 0.985
O3 O 0.115 0.020 0.755
```


| no. | ΔE to the lowest computed polymorph (meV per atom) | DOS(E_F) (states/eV per cell) |
| --- | --- | --- |
| 1 | 0 | 0.00 |
| 2 | 8 | 0.00 |